The following is a PBE-GGA calculation of crystalline LaDy2Al6 at its relaxed geometry, from the Alexandria database.

Unit cell a=7.9724 b=7.9724 c=3.5951 alpha=90.00 beta=90.00 gamma=120.00
Fractional positions:
1 La 0.0000 0.0000 0.0000
2 Dy 0.3333 0.6667 0.0000
3 Dy 0.6667 0.3333 0.0000
4 Al 0.0000 0.3366 0.5000
5 Al 0.0000 0.6634 0.5000
6 Al 0.3366 0.0000 0.5000
7 Al 0.3366 0.3366 0.5000
8 Al 0.6634 0.0000 0.5000
9 Al 0.6634 0.6634 0.5000

The space group is P6/mmm. Its energy relative to the elements is -464 meV/atom. The total energy comes out at -4.53 eV/atom. Its density of states at the Fermi level is 4.864 states/eV/cell. The value obtained for the excess energy over the best structure of this formula in the dataset is 0.000 eV/atom. The calculation puts the total moment at 0.00 μB/f.u.